The following is a PBE calculation of MgNiOs2 after structural relaxation, from the Alexandria database.

Lattice parameters (Å, degrees): 2.7936 2.7936 7.3645 90.00 90.00 90.00
Closest atoms and distances in Å follow each position.
Element x y z (fractional)
Mg  0.0000  0.0000  0.0000  4 Ni 2.71, 4 Mg 2.79, 4 Os 2.86
Ni  0.5000  0.5000  0.2514  4 Os 2.63, 4 Mg 2.71, 4 Ni 2.79
Os  0.0000  0.0000  0.4875  8 Os 2.61-2.79, 4 Ni 2.63
Os  0.5000  0.5000  0.7184  8 Os 2.61-2.79, 4 Mg 2.86

Calculated values
- Space group: P4mm (99)
- Crystal system: tetragonal
- Magnetization: 0.0001 μB per atom
- Total DFT energy (no corrections): -7.37 eV/atom
- ΔE_f: 0.0882 eV per atom